Record 1
Computed, not measured: a geometry-optimized SrSmHfCrO6 structure at the PBE with a Hubbard U level of DFT.

* DFT total energy: -82.82 eV/cell

a = 5.667 Å, b = 5.667 Å, c = 5.667 Å
α = 60.00°, β = 60.00°, γ = 60.00°
Positions (direct):
Sr 0.000 0.000 0.000
Sm 0.500 0.500 0.500
Hf 0.250 0.250 0.250
Cr 0.750 0.750 0.750
O 0.504 0.504 0.996
O 0.504 0.996 0.504
O 0.504 0.996 0.996
O 0.996 0.504 0.504
O 0.996 0.504 0.996
O 0.996 0.996 0.504

***

Record 2
Computed, not measured: a geometry-optimized Hf2CrSnO structure at the PBE with a Hubbard U level of DFT.

* DFT total energy: -28.79 eV/cell

a = 5.324 Å, b = 5.324 Å, c = 5.000 Å
α = 90.00°, β = 90.00°, γ = 90.00°
Positions (direct):
Hf 0.000 0.500 0.000
Hf 0.500 0.000 0.000
Cr 0.000 0.000 0.500
Sn 0.000 0.000 0.000
O 0.500 0.500 0.500

***

Record 3
Computed, not measured: a geometry-optimized HfTaCrO6 structure at the PBE with a Hubbard U level of DFT.

* DFT total energy: -169.08 eV/cell

a = 4.764 Å, b = 4.764 Å, c = 9.349 Å
α = 90.00°, β = 90.00°, γ = 90.00°
Positions (direct):
Hf 0.000 0.000 0.000
Hf 0.500 0.500 0.500
Ta 0.000 0.000 0.665
Ta 0.500 0.500 0.165
Cr 0.000 0.000 0.331
Cr 0.500 0.500 0.831
O 0.190 0.190 0.500
O 0.197 0.197 0.824
O 0.200 0.200 0.167
O 0.300 0.700 0.667
O 0.303 0.697 0.324
O 0.310 0.690 0.000
O 0.690 0.310 0.000
O 0.697 0.303 0.324
O 0.700 0.300 0.667
O 0.800 0.800 0.167
O 0.803 0.803 0.824
O 0.810 0.810 0.500

***

Record 4
Computed, not measured: a geometry-optimized TbHfCr2O6 structure at the PBE with a Hubbard U level of DFT.

* DFT total energy: -86.59 eV/cell

a = 5.334 Å, b = 5.425 Å, c = 5.700 Å
α = 63.35°, β = 89.90°, γ = 60.93°
Positions (direct):
Tb 0.000 0.000 0.000
Hf 0.520 0.967 0.541
Cr 0.217 0.569 0.628
Cr 0.724 0.548 0.158
O 0.149 0.023 0.369
O 0.328 0.105 0.820
O 0.437 0.437 0.364
O 0.578 0.496 0.840
O 0.825 0.748 0.360
O 0.929 0.724 0.842